(1)
VASP calculation (PBE) on a geometry-optimized RbGaSn3 structure.

* energy relative to the lowest polymorph listed for this composition: 0.309 eV per atom

Lattice parameters (Å, degrees): 5.569 5.569 5.569 90.00 90.00 90.00
Space group Pm-3m (No. 221)
Symmetry-distinct sites (fractional):
Rb: 0.000 0.000 0.000
Ga: 0.500 0.500 0.500
Sn: 0.000 0.500 0.500

(2)
VASP calculation (PBE) on a geometry-optimized Rb2GaSn2 structure.

* energy relative to the lowest polymorph listed for this composition: 0.272 eV per atom

Lattice parameters (Å, degrees): 10.625 10.625 3.532 90.00 90.00 90.00
Space group P4/mbm (No. 127)
Symmetry-distinct sites (fractional):
Rb: 0.201 0.299 0.000
Ga: 0.000 0.000 0.500
Sn: 0.094 0.594 0.500

(3)
VASP calculation (PBE) on a geometry-optimized RbGa3Sn4 structure.

Lattice parameters (Å, degrees): 5.274 5.274 8.042 90.00 90.00 90.00
Space group P4/mmm (No. 123)
Symmetry-distinct sites (fractional):
Rb: 0.000 0.000 0.000
Ga: 0.000 0.000 0.500
Ga: 0.500 0.500 0.165
Sn: 0.000 0.500 0.315

(4)
VASP calculation (PBE) on a geometry-optimized Rb3Ga8Sn3 structure.

Lattice parameters (Å, degrees): 4.744 10.714 14.516 90.00 90.00 90.00
Space group Immm (No. 71)
Symmetry-distinct sites (fractional):
Rb: 0.000 0.000 0.000
Rb: 0.000 0.000 0.310
Ga: 0.000 0.265 0.160
Ga: 0.000 0.371 0.334
Sn: 0.000 0.218 0.500
Sn: 0.000 0.500 0.000

(5)
VASP calculation (PBE) on a geometry-optimized Rb2GaSn5 structure.

Lattice parameters (Å, degrees): 7.020 7.020 5.900 90.00 90.00 90.00
Space group P4/mmm (No. 123)
Symmetry-distinct sites (fractional):
Rb: 0.000 0.500 0.000
Ga: 0.000 0.000 0.500
Sn: 0.000 0.000 0.000
Sn: 0.287 0.287 0.500

(6)
VASP calculation (PBE) on a geometry-optimized Rb2Ga5Sn3 structure.

* energy relative to the lowest polymorph listed for this composition: 0.000 eV per atom

Lattice parameters (Å, degrees): 11.378 13.877 6.929 90.00 90.00 90.00
Space group Ibam (No. 72)
Symmetry-distinct sites (fractional):
Rb: 0.246 0.124 0.000
Ga: 0.000 0.000 0.250
Ga: 0.000 0.257 0.250
Ga: 0.126 0.368 0.000
Sn: 0.000 0.500 0.250
Sn: 0.128 0.128 0.500

Ordered formation energy from the elements results: 0.17; 0.18; -0.04; -0.05; 0.09; -0.15; unit eV per atom.